(1)
{"formula": "LiMg2Hg2", "functional": "PBE", "state": "relaxed", "cell": [[5.327, 0.000, 0.000], [0.000, 7.399, 0.000], [-2.663, -3.700, 5.591]], "species": ["Li", "Li", "Mg", "Mg", "Mg", "Mg", "Hg", "Hg", "Hg", "Hg"], "fractional_positions": [[0.750, 0.500, 0.000], [0.250, 0.500, 0.000], [0.808, 0.650, 0.615], [0.192, 0.350, 0.385], [0.692, 0.035, 0.385], [0.308, 0.965, 0.615], [0.424, 0.733, 0.848], [0.576, 0.267, 0.152], [0.076, 0.885, 0.152], [0.924, 0.115, 0.848]], "energy_ev_per_cell": -13.23, "magnetic_moment_mub_per_fu": 0.0, "delta_e_f_ev_per_atom": -0.18}

---

(2)
{"formula": "NaCd2H2", "functional": "PBE", "state": "relaxed", "cell": [[6.267, 0.000, 0.000], [0.000, 6.267, 0.000], [0.000, 0.000, 4.078]], "species": ["Na", "Na", "H", "H", "H", "H", "Cd", "Cd", "Cd", "Cd"], "fractional_positions": [[0.000, 0.000, 0.000], [0.500, 0.500, 0.000], [0.176, 0.676, 0.000], [0.676, 0.824, 0.000], [0.824, 0.324, 0.000], [0.324, 0.176, 0.000], [0.169, 0.669, 0.500], [0.669, 0.831, 0.500], [0.831, 0.331, 0.500], [0.331, 0.169, 0.500]], "energy_ev_per_cell": -18.16, "magnetic_moment_mub_per_fu": 0.0}

---

(3)
{"formula": "SiTc2Hg", "functional": "PBE", "state": "relaxed", "cell": [[-2.288, -4.387, 7.260], [0.581, -4.769, 7.356], [-0.596, -2.356, 8.443]], "species": ["Hg", "Si", "Tc", "Tc"], "fractional_positions": [[0.250, 0.250, 0.250], [0.750, 0.750, 0.750], [0.010, 0.010, 0.010], [0.490, 0.490, 0.490]], "energy_ev_per_cell": -25.72, "magnetic_moment_mub_per_fu": 0.0, "e_form_raw_ev_per_atom": 0.18}

---

(4)
{"formula": "CuPt2ClF", "functional": "PBE", "state": "relaxed", "cell": [[-2.728, -2.950, -0.999], [3.282, -3.685, 1.919], [-1.764, 0.370, 3.727]], "species": ["F", "Cu", "Pt", "Pt", "Cl"], "fractional_positions": [[0.000, 0.000, 0.000], [0.500, 0.500, 0.500], [0.000, 0.000, 0.500], [0.500, 0.000, 0.000], [0.000, 0.500, 0.000]], "energy_ev_per_cell": -16.37, "magnetic_moment_mub_per_fu": 0.0, "e_form_raw_ev_per_atom": 0.70}